Record 1
Here is a geometry-optimized TlInPb2 structure from Alexandria via LeMat-Bulk. Energies are from PBE.

Results
VASP energy in eV per cell: -12.49
ΔH_f (0 K) in eV per atom: 0.007
Calculated density in g cm⁻³: 10.1
Total moment in Bohr magnetons per cell: 0.00
Symmetry: No. 25
ΔE to the lowest computed polymorph in eV per atom: 0.006

a = 3.4659 Å, b = 4.9193 Å, c = 7.0926 Å
α = 90.00°, β = 90.00°, γ = 90.00°
Fractional positions:
Pb: 0.0000 0.0000 0.9947
Pb: 0.5000 0.5000 0.2495
Tl: 0.0000 0.0000 0.5039
In: 0.5000 0.5000 0.7519

***

Record 2
Here is a geometry-optimized TlInPb2 structure from Alexandria via LeMat-Bulk. Energies are from PBE.

Results
VASP energy in eV per cell: -12.44
ΔH_f (0 K) in eV per atom: 0.020
Calculated density in g cm⁻³: 9.9
Total moment in Bohr magnetons per cell: 0.00
Symmetry: No. 160
ΔE to the lowest computed polymorph in eV per atom: 0.019

a = 11.4922 Å, b = 11.4922 Å, c = 11.4922 Å
α = 17.71°, β = 17.71°, γ = 17.71°
Fractional positions:
Pb: 0.0017 0.0017 0.0017
Pb: 0.2506 0.2506 0.2506
Tl: 0.4980 0.4980 0.4980
In: 0.7498 0.7498 0.7498

***

Record 3
Here is a geometry-optimized TlInPb2 structure from Alexandria via LeMat-Bulk. Energies are from PBE.

Results
VASP energy in eV per cell: -12.49
ΔH_f (0 K) in eV per atom: 0.008
Calculated density in g cm⁻³: 10.0
Total moment in Bohr magnetons per cell: 0.00
Symmetry: No. 10
ΔE to the lowest computed polymorph in eV per atom: 0.007

a = 5.0464 Å, b = 3.5100 Å, c = 7.3604 Å
α = 68.70°, β = 90.00°, γ = 90.00°
Fractional positions:
Pb: 0.0000 0.9788 0.9921
Pb: 0.0000 0.5212 0.5079
Tl: 0.5000 0.2500 0.2500
In: 0.5000 0.7500 0.7500

***

Record 4
Here is a geometry-optimized Tl2InPb structure from Alexandria via LeMat-Bulk. Energies are from PBE.

Results
VASP energy in eV per cell: -11.16
ΔH_f (0 K) in eV per atom: 0.004
Calculated density in g cm⁻³: 10.1
Total moment in Bohr magnetons per cell: 0.00
Symmetry: No. 160
ΔE to the lowest computed polymorph in eV per atom: 0.006

a = 11.8340 Å, b = 11.8340 Å, c = 11.8340 Å
α = 16.75°, β = 16.75°, γ = 16.75°
Fractional positions:
Pb: 0.7514 0.7514 0.7514
Tl: 0.9981 0.9981 0.9981
Tl: 0.2482 0.2482 0.2482
In: 0.5023 0.5023 0.5023